No. 1
Computed, not measured: LiLaI2 after structural relaxation at the PBE level of DFT.

Results
N(E_F) (states/eV/cell): 1.05
Volume (Å³/cell): 121
Crystal system: tetragonal
Formation energy without anion corrections (meV/atom): -954.1

Unit cell a=3.9934 b=3.9934 c=7.5686 alpha=90.00 beta=90.00 gamma=90.00
Last column: nearest neighbours and their distance in Å.
Space group P4/mmm (No. 123)
Symmetry-distinct sites (fractional):
Li 0.0000 0.0000 0.0000 (multiplicity 1)  8 I 3.43, 2 La 3.78
La 0.0000 0.0000 0.5000 (multiplicity 1)  8 I 3.37
I 0.5000 0.5000 0.2566 (multiplicity 2)  4 La 3.37, 4 Li 3.43, 1 I 3.68



No. 2
Computed, not measured: Li2LaI after structural relaxation at the PBE level of DFT.

Results
N(E_F) (states/eV/cell): 12.31
Volume (Å³/cell): 476
Crystal system: tetragonal
Formation energy without anion corrections (meV/atom): -238.9

Unit cell a=8.6389 b=8.6389 c=6.3739 alpha=90.00 beta=90.00 gamma=90.00
Last column: nearest neighbours and their distance in Å.
Space group I-42d (No. 122)
Symmetry-distinct sites (fractional):
Li 0.1967 0.2500 0.1250 (multiplicity 8)  2 I 2.86
La 0.0000 0.0000 0.5000 (multiplicity 4)  2 I 3.19, 4 Li 3.49
I 0.0000 0.0000 0.0000 (multiplicity 4)  4 Li 2.86, 2 La 3.19



No. 3
Computed, not measured: Li2La2I after structural relaxation at the PBE level of DFT.

Results
N(E_F) (states/eV/cell): 9.14
Volume (Å³/cell): 293
Crystal system: tetragonal
Formation energy without anion corrections (meV/atom): -209.0

Unit cell a=3.8407 b=3.8407 c=19.8491 alpha=90.00 beta=90.00 gamma=90.00
Last column: nearest neighbours and their distance in Å.
Space group I4/mmm (No. 139)
Symmetry-distinct sites (fractional):
Li 0.0000 0.5000 0.2500 (multiplicity 4)  4 Li 2.72
La 0.0000 0.0000 0.1014 (multiplicity 4)  4 I 3.38, 4 Li 3.52
I 0.0000 0.0000 0.5000 (multiplicity 2)  8 La 3.38



No. 4
Computed, not measured: LiLaI2 after structural relaxation at the PBE level of DFT.

Results
N(E_F) (states/eV/cell): 9.37
Volume (Å³/cell): 502
Crystal system: tetragonal
Formation energy without anion corrections (meV/atom): -810.9

Unit cell a=8.1035 b=8.1035 c=7.6419 alpha=90.00 beta=90.00 gamma=90.00
Last column: nearest neighbours and their distance in Å.
Space group I-42d (No. 122)
Symmetry-distinct sites (fractional):
Li 0.0000 0.0000 0.0000 (multiplicity 4)  4 I 2.74
La 0.0000 0.0000 0.5000 (multiplicity 4)  4 I 3.34
I 0.1947 0.2500 0.1250 (multiplicity 8)  2 Li 2.74



No. 5
Computed, not measured: LiLaI2 after structural relaxation at the PBE level of DFT.

Results
N(E_F) (states/eV/cell): 7.40
Volume (Å³/cell): 491
Crystal system: cubic
Formation energy without anion corrections (meV/atom): -785.6

Unit cell a=7.8912 b=7.8912 c=7.8912 alpha=90.00 beta=90.00 gamma=90.00
Last column: nearest neighbours and their distance in Å.
Space group Fm-3m (No. 225)
Symmetry-distinct sites (fractional):
Li 0.0000 0.0000 0.0000 (multiplicity 4)  8 I 3.42
La 0.0000 0.0000 0.5000 (multiplicity 4)  8 I 3.42
I 0.2500 0.2500 0.2500 (multiplicity 8)  4 La 3.42, 4 Li 3.42



No. 6
Computed, not measured: Li2LaI6 after structural relaxation at the PBE level of DFT.

Results
N(E_F) (states/eV/cell): 0.95
Volume (Å³/cell): 1561
Crystal system: monoclinic
Formation energy without anion corrections (meV/atom): -1113.8

Unit cell a=13.8096 b=15.0160 c=8.0117 alpha=90.00 beta=109.99 gamma=90.00
Last column: nearest neighbours and their distance in Å.
Space group C2/c (No. 15)
Symmetry-distinct sites (fractional):
Li 0.1325 0.0911 0.2226 (multiplicity 8)  5 I 2.81-3.10
La 0.0000 0.4061 0.2500 (multiplicity 4)  6 I 3.09-3.28
I 0.0909 0.0783 0.5442 (multiplicity 8)  3 Li 2.83-3.10
I 0.1334 0.4315 0.6614 (multiplicity 8)  1 Li 3.06, 2 La 3.20-3.28
I 0.1580 0.2753 0.1903 (multiplicity 8)  1 Li 2.81, 1 La 3.09



No. 7
Computed, not measured: LiLaI2 after structural relaxation at the PBE level of DFT.

Results
N(E_F) (states/eV/cell): 4.24
Volume (Å³/cell): 364
Crystal system: trigonal
Formation energy without anion corrections (meV/atom): -1055.8

Unit cell a=4.0936 b=4.0936 c=25.0945 alpha=90.00 beta=90.00 gamma=120.00
Last column: nearest neighbours and their distance in Å.
Space group R3m (No. 160, hexagonal axes)
Symmetry-distinct sites (fractional):
Li 0.0000 0.0000 0.0000 (multiplicity 3)  6 I 2.93-2.98
La 0.0000 0.0000 0.8354 (multiplicity 3)  6 I 3.36-3.38
I 0.0000 0.0000 0.4055 (multiplicity 3)  3 Li 2.98
I 0.0000 0.0000 0.5974 (multiplicity 3)  3 Li 2.93



No. 8
Computed, not measured: Li2La2I after structural relaxation at the PBE level of DFT.

Results
N(E_F) (states/eV/cell): 12.46
Volume (Å³/cell): 324
Crystal system: tetragonal
Formation energy without anion corrections (meV/atom): -141.8

Unit cell a=8.5994 b=8.5994 c=4.3778 alpha=90.00 beta=90.00 gamma=90.00
Last column: nearest neighbours and their distance in Å.
Space group P4/mbm (No. 127)
Symmetry-distinct sites (fractional):
Li 0.1290 0.3710 0.0000 (multiplicity 4)  1 Li 3.14, 6 La 3.32-3.37
La 0.1601 0.6601 0.5000 (multiplicity 4)  2 I 3.23, 6 Li 3.32-3.37
I 0.0000 0.0000 0.5000 (multiplicity 2)  4 La 3.23



No. 9
Computed, not measured: Li3LaI after structural relaxation at the PBE level of DFT.

Results
N(E_F) (states/eV/cell): 6.59
Volume (Å³/cell): 145
Crystal system: cubic
Formation energy without anion corrections (meV/atom): 54.4

Unit cell a=5.2544 b=5.2544 c=5.2544 alpha=90.00 beta=90.00 gamma=90.00
Last column: nearest neighbours and their distance in Å.
Space group Pm-3m (No. 221)
Symmetry-distinct sites (fractional):
Li 0.0000 0.0000 0.5000 (multiplicity 3)  2 I 2.63
La 0.5000 0.5000 0.5000 (multiplicity 1)  12 Li 3.72
I 0.0000 0.0000 0.0000 (multiplicity 1)  6 Li 2.63



No. 10
Computed, not measured: Li2LaI after structural relaxation at the PBE level of DFT.

Results
N(E_F) (states/eV/cell): 18.04
Volume (Å³/cell): 411
Crystal system: cubic
Formation energy without anion corrections (meV/atom): 5.1

Unit cell a=7.4356 b=7.4356 c=7.4356 alpha=90.00 beta=90.00 gamma=90.00
Last column: nearest neighbours and their distance in Å.
Space group Fm-3m (No. 225)
Symmetry-distinct sites (fractional):
Li 0.2500 0.2500 0.2500 (multiplicity 8)  4 La 3.22, 4 I 3.22
La 0.0000 0.0000 0.0000 (multiplicity 4)  8 Li 3.22
I 0.0000 0.0000 0.5000 (multiplicity 4)  8 Li 3.22



No. 11
Computed, not measured: Li2La2I after structural relaxation at the PBE level of DFT.

Results
N(E_F) (states/eV/cell): 9.37
Volume (Å³/cell): 287
Crystal system: tetragonal
Formation energy without anion corrections (meV/atom): -136.2

Unit cell a=8.2484 b=8.2484 c=4.2237 alpha=90.00 beta=90.00 gamma=90.00
Last column: nearest neighbours and their distance in Å.
Space group P4/mbm (No. 127)
Symmetry-distinct sites (fractional):
Li 0.1314 0.3686 0.0000 (multiplicity 4)  1 Li 3.07, 6 La 3.20-3.23, 2 I 3.23
La 0.1586 0.6586 0.5000 (multiplicity 4)  6 Li 3.20-3.23
I 0.0000 0.0000 0.0000 (multiplicity 2)  4 Li 3.23



No. 12
Computed, not measured: Li2LaMoI after structural relaxation at the PBE level of DFT.

Results
N(E_F) (states/eV/cell): 3.78
Volume (Å³/cell): 203
Crystal system: tetragonal
Formation energy without anion corrections (meV/atom): 1318.0

Unit cell a=5.8418 b=5.8418 c=5.9590 alpha=90.00 beta=90.00 gamma=90.00
Last column: nearest neighbours and their distance in Å.
Space group P4/mmm (No. 123)
Symmetry-distinct sites (fractional):
Li 0.0000 0.5000 0.0000 (multiplicity 2)  2 La 2.92
La 0.0000 0.0000 0.0000 (multiplicity 1)  4 Li 2.92, 2 I 2.98
Mo 0.5000 0.5000 0.5000 (multiplicity 1)  4 I 4.13, 8 Li 4.17
I 0.0000 0.0000 0.5000 (multiplicity 1)  2 La 2.98



| no. | total energy (eV per formula unit) |
| --- | --- |
| 1 | -13.8 |
| 2 | -11.3 |
| 3 | -16.3 |
| 4 | -13.2 |
| 5 | -13.1 |
| 6 | -28.1 |
| 7 | -14.2 |
| 8 | -15.9 |
| 9 | -11.9 |
| 10 | -10.3 |
| 11 | -15.9 |
| 12 | -14.5 |